# Nd6SnTe2Se3

Crystalline Nd6SnTe2Se3 at its relaxed geometry (PBE, Alexandria via LeMat-Bulk).

Results
Energy relative to the elements, uncorrected = -1536 meV per atom
Size of the total moment = 0.00 μB/cell
Space group = C2/m
E_tot = -5.649 eV/atom

The structure in CIF format:
```
data_Nd6SnTe2Se3
_chemical_formula_sum 'Nd6 Sn1 Te2 Se3'
_cell_length_a 4.355
_cell_length_b 8.792
_cell_length_c 9.800
_cell_angle_alpha 103.05
_cell_angle_beta 102.84
_cell_angle_gamma 90.00
_symmetry_space_group_name_H-M 'P 1'
_symmetry_Int_Tables_number 1
loop_
_symmetry_equiv_pos_as_xyz
'x,y,z'
loop_
_atom_site_label
_atom_site_type_symbol
_atom_site_fract_x
_atom_site_fract_y
_atom_site_fract_z
Sn1 Sn 0.500 0.000 0.000
Se1 Se 0.168 0.834 0.336
Se2 Se 0.500 0.500 0.000
Se3 Se 0.832 0.166 0.664
Nd1 Nd 0.333 0.933 0.665
Nd2 Nd 0.996 0.253 0.992
Nd3 Nd 0.658 0.600 0.317
Nd4 Nd 0.667 0.067 0.335
Nd5 Nd 0.342 0.400 0.683
Nd6 Nd 0.004 0.747 0.008
Te1 Te 0.169 0.338 0.338
Te2 Te 0.831 0.662 0.662
```